Compound: Hf5Co2Pd2
Source: Alexandria via LeMat-Bulk
Functional: PBE-GGA
Structure: relaxed

Results
- energy of formation (eV/atom) = -0.4645

a b c (Å): 8.3329 8.3329 6.5402
angles (deg): 90.00 90.00 45.82
Positions (direct):
1 Hf 0.0000 0.0000 0.0000
2 Hf 0.0489 0.6901 0.6800
3 Hf 0.1901 0.5489 0.1800
4 Hf 0.3099 0.9511 0.6800
5 Hf 0.4511 0.8099 0.1800
6 Hf 0.5000 0.5000 0.5000
7 Hf 0.5489 0.1901 0.8200
8 Hf 0.6901 0.0489 0.3200
9 Hf 0.8099 0.4511 0.8200
10 Hf 0.9511 0.3099 0.3200
11 Co 0.1311 0.8689 0.3681
12 Co 0.3689 0.6311 0.8681
13 Co 0.6311 0.3689 0.1319
14 Co 0.8689 0.1311 0.6319
15 Pd 0.2209 0.2209 0.0000
16 Pd 0.2791 0.2791 0.5000
17 Pd 0.7209 0.7209 0.5000
18 Pd 0.7791 0.7791 0.0000